Record 1
This record from OQMD via LeMat-Bulk describes a geometry-optimized BaHf2Ir structure. The functional is GGA-PBE.

Properties
The space group is F-43m, No. 216. The calculated total energy comes out at -7.080 eV/atom. The calculated volume is 23.0 Å³ per atom.

Cell: 5.068 5.068 5.068 Å, 60.00 60.00 60.00°
Site moments in Bohr magnetons follow the coordinates.
Positions (direct):
Ba1 0.750 0.750 0.750  0.02
Ir1 0.500 0.500 0.500  -0.05
Hf1 0.250 0.250 0.250  0.28
Hf2 0.000 0.000 0.000  0.41

Record 2
This record from OQMD via LeMat-Bulk describes a geometry-optimized Ba2HfIr structure. The functional is GGA-PBE.

Properties
The space group is F-43m, No. 216. The calculated total energy comes out at -5.019 eV/atom. The calculated volume is 27.3 Å³ per atom.

Cell: 5.366 5.366 5.366 Å, 60.00 60.00 60.00°
Positions (direct):
Ba1 0.000 0.000 0.000
Ba2 0.750 0.750 0.750
Ir1 0.500 0.500 0.500
Hf1 0.250 0.250 0.250

Record 3
This record from OQMD via LeMat-Bulk describes a geometry-optimized KBaHf structure. The functional is GGA-PBE.

Properties
The space group is F-43m, No. 216. The calculated total energy comes out at -2.770 eV/atom. The calculated volume is 48.7 Å³ per atom.

Cell: 5.913 5.913 5.913 Å, 60.00 60.00 60.00°
Positions (direct):
K1 0.000 0.000 0.000
Ba1 0.250 0.250 0.250
Hf1 0.750 0.750 0.750

Record 4
This record from OQMD via LeMat-Bulk describes a geometry-optimized Ba2LiHfS6 structure. The functional is GGA-PBE.

Properties
The space group is Fm-3m, No. 225. The calculated total energy comes out at -5.356 eV/atom. The calculated volume is 23.7 Å³ per atom.

Cell: 6.947 6.947 6.947 Å, 120.00 120.00 60.00°
Positions (direct):
Hf1 0.000 0.000 0.000
S1 0.254 0.746 0.254
S2 0.254 0.746 0.746
S3 0.746 0.254 0.746
S4 0.746 0.254 0.254
S5 0.254 0.254 0.254
S6 0.746 0.746 0.746
Ba1 0.250 0.250 0.750
Ba2 0.750 0.750 0.250
Li1 0.500 0.500 0.500